No. 1
Ga3RuC | PBEsol | relaxed

## Properties
final energy: -25.59 eV per cell
volume: 13.71 Å³/atom
E_form: 82 kJ/mol of atoms
crystal system: cubic

extended XYZ file:
```
5
Lattice="4.093 0.000 0.000 0.000 4.093 0.000 0.000 0.000 4.093" Properties=species:S:1:pos:R:3 pbc="T T T"
Ga 2.046 0.000 0.000
Ga 0.000 2.046 0.000
Ga 0.000 0.000 2.046
Ru 2.046 2.046 2.046
C 0.000 0.000 0.000
```

=====

No. 2
HgTe3 | PBEsol | relaxed

## Properties
final energy: -19.12 eV per cell
uncorrected formation energy: 153 kJ/mol of formula units
volume: 27.21 Å³/atom
crystal system: cubic

extended XYZ file:
```
8
Lattice="-1.272 0.946 5.803 -5.042 -3.230 -0.579 3.025 -4.986 1.476" Properties=species:S:1:pos:R:3 pbc="T T T"
Hg -1.645 -3.635 3.350
Te 0.252 -3.300 0.594
Te 1.632 -3.266 4.009
Te -2.839 -1.378 1.161
Te -2.269 -4.915 0.304
Te 0.120 -0.773 3.270
Te -3.475 -0.905 4.063
Hg 0.000 0.000 0.000
```

=====

No. 3
Li5MnO3F | PBEsol | relaxed

## Properties
final energy: -112.17 eV per cell
uncorrected formation energy: -1815 kJ/mol of formula units
volume: 9.92 Å³/atom
crystal system: monoclinic

extended XYZ file:
```
20
Lattice="4.638 -0.044 0.000 -0.073 6.513 0.000 0.000 0.000 6.570" Properties=species:S:1:pos:R:3 pbc="T T T"
Li 3.313 3.060 5.292
F 0.111 3.373 0.199
Li 0.990 6.347 1.978
O 2.582 4.871 5.204
Mn 3.230 4.924 3.363
O 2.262 1.479 4.955
Li 1.328 4.857 0.035
Li 0.963 1.660 3.585
Li 3.576 0.123 5.264
Li 3.602 4.810 0.300
O 2.303 4.991 1.669
O 0.100 6.404 0.138
Mn 1.335 1.546 0.078
Li 1.152 6.178 4.762
O 4.465 0.065 3.423
F 4.454 3.096 3.484
Li 3.413 0.292 1.477
Li 3.237 1.612 3.320
Li 1.252 3.410 2.007
O 1.984 1.599 1.919
```

=====

No. 4
NbAl2Hg | PBEsol | relaxed

## Properties
final energy: -36.82 eV per cell
volume: 18.62 Å³/atom
E_form: 28 kJ/mol of atoms
crystal system: tetragonal

extended XYZ file:
```
8
Lattice="5.740 0.000 0.000 2.870 5.094 0.000 2.870 0.000 5.094" Properties=species:S:1:pos:R:3 pbc="T T T"
Nb 4.305 2.547 2.547
Al 7.893 5.027 2.480
Al 6.458 2.480 0.067
Al 6.458 2.614 5.027
Hg 0.000 0.000 0.000
Nb 2.870 0.000 0.000
Al 2.153 0.067 2.614
Hg 7.175 2.547 2.547
```

=====

No. 5
HgH2N | PBEsol | relaxed

## Properties
final energy: -27.36 eV per cell
volume: 8.51 Å³/atom
crystal system: cubic

extended XYZ file:
```
8
Lattice="4.582 0.000 0.000 2.291 3.969 0.000 2.291 1.323 3.742" Properties=species:S:1:pos:R:3 pbc="T T T"
Hg 2.291 1.323 0.935
H 4.582 1.323 2.338
H 3.437 3.307 2.338
H 4.582 2.646 0.468
H 5.728 3.307 2.338
Hg 0.000 0.000 0.000
N 6.874 3.969 2.806
N 4.582 2.646 1.871
```

=====

No. 6
Cs2KAlI6 | PBEsol | relaxed

## Properties
final energy: -29.02 eV per cell
uncorrected formation energy: -1091 kJ/mol of formula units
volume: 47.45 Å³/atom
crystal system: cubic

extended XYZ file:
```
10
Lattice="8.755 0.000 0.000 4.378 7.582 0.000 4.378 2.527 7.149" Properties=species:S:1:pos:R:3 pbc="T T T"
Cs 4.378 2.527 1.787
I 11.165 6.446 1.607
I 8.755 2.273 1.607
I 11.165 3.664 5.542
I 6.346 6.446 1.607
Cs 13.133 7.582 5.361
I 6.346 3.664 5.542
Al 0.000 0.000 0.000
K 8.755 5.055 3.574
I 8.755 7.837 5.542
```